Compound: Ce9MgIn2
Source: Alexandria via LeMat-Bulk
Functional: GGA-PBE
Structure: optimized geometry

Cell: 4.8047 4.8047 14.3975 Å, 90.00 90.00 90.00°
Site moments in Bohr magnetons follow the coordinates.
Positions (direct):
Ce 0.5000 0.0000 0.1672  0.70
Ce 0.0000 0.5000 0.8328  0.70
Mg 0.0000 0.0000 0.0000  0.00
Ce 0.5000 0.0000 0.8328  0.70
Ce 0.0000 0.5000 0.5000  0.74
In 0.0000 0.0000 0.3334  -0.02
Ce 0.5000 0.5000 0.6706  0.68
Ce 0.5000 0.0000 0.5000  0.74
Ce 0.0000 0.5000 0.1672  0.70
Ce 0.5000 0.5000 0.0000  0.77
Ce 0.5000 0.5000 0.3294  0.68
In 0.0000 0.0000 0.6666  -0.02

Properties
The space group is P4/mmm (123). As for the calculated formation energy: -0.09 eV/atom.


Compound: CaIn
Source: Alexandria via LeMat-Bulk
Functional: GGA-PBE
Structure: optimized geometry

Cell: 8.9462 8.9462 8.9462 Å, 90.00 90.00 90.00°
Positions (direct):
Ca 0.2500 0.0000 0.5000
Ca 0.0000 0.5000 0.7500
In 0.2500 0.5000 0.0000
In 0.0000 0.7500 0.5000
In 0.5000 0.0000 0.7500
In 0.7500 0.5000 0.0000
In 0.5000 0.0000 0.2500
Ca 0.5000 0.7500 0.0000
Ca 0.0000 0.5000 0.2500
In 0.0000 0.2500 0.5000
Ca 0.7500 0.0000 0.5000
Ca 0.5000 0.2500 0.0000

Properties
The space group is Pm-3n (223). As for the calculated formation energy: 0.51 eV/atom.


Compound: Dy4GaTe3
Source: Alexandria via LeMat-Bulk
Functional: GGA-PBE
Structure: optimized geometry

Cell: 4.2883 7.5257 7.5257 Å, 109.03 90.00 90.00°
Positions (direct):
Te 0.0000 0.0000 0.5000
Dy 0.0000 0.7725 0.7725
Te 0.0000 0.5000 0.0000
Dy 0.0000 0.2275 0.2275
Dy 0.5000 0.2344 0.7656
Te 0.5000 0.5000 0.5000
Ga 0.5000 0.0000 0.0000
Dy 0.5000 0.7656 0.2344

Properties
The space group is Cmmm (65). Its uncorrected formation energy is -9.36 eV/f.u.